Entry from Alexandria: ScCdSi4 after structural relaxation (GGA-PBE).

Values from the calculation:
* M_tot: 0.000 μB/atom
* formation energy without anion corrections: 18 meV/atom

The structure in CIF format:
```
data_ScCdSi4
_space_group_name_H-M_alt 'F -4 3 m'
_space_group_IT_number 216
_space_group_name_Hall 'F -4 2 3'
_cell_length_a 7.335
_cell_length_b 7.335
_cell_length_c 7.335
_cell_angle_alpha 90.00
_cell_angle_beta 90.00
_cell_angle_gamma 90.00
loop_
_atom_site_label
_atom_site_fract_x
_atom_site_fract_y
_atom_site_fract_z
_atom_site_occupancy
Sc1 0.000 0.000 0.000 1
Cd1 0.250 0.250 0.250 1
Si1 0.125 0.125 0.625 1
```